The following is a PBEsol calculation of Na2SnBr after structural relaxation, from the Alexandria database.

Cell: 5.4003 5.4003 5.4003 Å, 60.00 60.00 60.00°
With the nearest neighbours (Å) after each atom.
Positions (direct):
Na 0.2500 0.2500 0.2500  4 Sn 3.31, 4 Br 3.31
Na 0.7500 0.7500 0.7500  4 Sn 3.31, 4 Br 3.31
Sn 0.0000 0.0000 0.0000  8 Na 3.31
Br 0.5000 0.5000 0.5000  8 Na 3.31

Formation energy (no corrections) (eV/atom): -0.257
ρ (g/cm3): 3.65
Calculated total energy (eV/atom): -2.4891

***

The following is a PBEsol calculation of HgPt3 after structural relaxation, from the Alexandria database.

Cell: 4.8960 9.3600 5.6087 Å, 90.00 90.00 90.00°
With the nearest neighbours (Å) after each atom.
Positions (direct):
Hg 0.0808 0.2500 0.1165  10 Pt 2.75-2.90, 2 Hg 2.87
Hg 0.4192 0.7500 0.6165  10 Pt 2.75-2.90, 2 Hg 2.87
Hg 0.5808 0.2500 0.3835  10 Pt 2.75-2.90, 2 Hg 2.87
Hg 0.9192 0.7500 0.8835  10 Pt 2.75-2.90, 2 Hg 2.87
Pt 0.0895 0.2500 0.6220  4 Hg 2.75-2.84, 8 Pt 2.82-2.85
Pt 0.2397 0.5027 0.3712  9 Pt 2.76-2.93, 3 Hg 2.83-2.90
Pt 0.2397 0.9973 0.3712  9 Pt 2.76-2.93, 3 Hg 2.83-2.90
Pt 0.2603 0.0027 0.8712  9 Pt 2.76-2.93, 3 Hg 2.83-2.90
Pt 0.2603 0.4973 0.8712  9 Pt 2.76-2.93, 3 Hg 2.83-2.90
Pt 0.4105 0.7500 0.1220  4 Hg 2.75-2.84, 8 Pt 2.82-2.85
Pt 0.5895 0.2500 0.8780  4 Hg 2.75-2.84, 8 Pt 2.82-2.85
Pt 0.7397 0.5027 0.1288  9 Pt 2.76-2.93, 3 Hg 2.83-2.90
Pt 0.7397 0.9973 0.1288  9 Pt 2.76-2.93, 3 Hg 2.83-2.90
Pt 0.7603 0.0027 0.6288  9 Pt 2.76-2.93, 3 Hg 2.83-2.90
Pt 0.7603 0.4973 0.6288  9 Pt 2.76-2.93, 3 Hg 2.83-2.90
Pt 0.9105 0.7500 0.3780  4 Hg 2.75-2.84, 8 Pt 2.82-2.85

ρ (g/cm3): 20.31
E_form (eV per atom): 0.04
Calculated total energy (eV/atom): -5.3232

***

The following is a PBEsol calculation of CaSi7N10 after structural relaxation, from the Alexandria database.

Cell: 6.8133 6.7850 9.6257 Å, 90.00 105.58 90.00°
With the nearest neighbours (Å) after each atom.
Positions (direct):
Ca 0.0000 0.0024 0.0000  4 N 2.40-2.68
Ca 0.0000 0.9976 0.5000  4 N 2.40-2.68
Si 0.0608 0.3738 0.3174  4 N 1.69-1.79
Si 0.0608 0.6262 0.8174  4 N 1.69-1.79
Si 0.2472 0.3686 0.6360  4 N 1.70-1.74
Si 0.2472 0.6314 0.1360  4 N 1.70-1.74
Si 0.3716 0.0239 0.3016  4 N 1.68-1.78
Si 0.3716 0.9761 0.8016  4 N 1.68-1.78
Si 0.4266 0.3707 0.9397  4 N 1.72-1.73
Si 0.4266 0.6293 0.4397  4 N 1.72-1.73
Si 0.5587 0.0248 0.6109  4 N 1.67-1.78
Si 0.5587 0.9752 0.1109  4 N 1.67-1.78
Si 0.6145 0.3785 0.2441  4 N 1.71-1.73
Si 0.6145 0.6215 0.7441  4 N 1.71-1.73
Si 0.8002 0.3961 0.5533  4 N 1.69-1.77
Si 0.8002 0.6039 0.0533  4 N 1.69-1.77
N 0.0252 0.3762 0.4953  3 Si 1.74-1.79
N 0.0252 0.6238 0.9953  3 Si 1.74-1.79
N 0.1573 0.1495 0.2964  2 Si 1.68-1.69
N 0.1573 0.8505 0.7964  2 Si 1.68-1.69
N 0.2080 0.4202 0.8034  3 Si 1.73-1.75
N 0.2080 0.5798 0.3034  3 Si 1.73-1.75
N 0.3420 0.1333 0.6510  3 Si 1.71-1.78
N 0.3420 0.8667 0.1510  3 Si 1.71-1.78
N 0.4139 0.4610 0.1042  3 Si 1.70-1.73
N 0.4139 0.5390 0.6042  3 Si 1.70-1.73
N 0.4581 0.1186 0.9565  3 Si 1.73-1.75
N 0.4581 0.8814 0.4565  3 Si 1.73-1.75
N 0.5896 0.1291 0.2624  3 Si 1.71-1.78
N 0.5896 0.8709 0.7624  3 Si 1.71-1.78
N 0.6240 0.4975 0.4030  3 Si 1.72-1.75
N 0.6240 0.5025 0.9030  3 Si 1.72-1.75
N 0.7556 0.1628 0.5982  2 Si 1.67-1.69
N 0.7556 0.8372 0.0982  2 Si 1.67-1.69
N 0.8324 0.4226 0.1887  3 Si 1.73-1.76
N 0.8324 0.5774 0.6887  3 Si 1.73-1.76

Formation energy (no corrections) (eV/atom): -1.251
ρ (g/cm3): 2.92
Calculated total energy (eV/atom): -8.3412

***

The following is a PBEsol calculation of RbYMn3 after structural relaxation, from the Alexandria database.

Cell: 5.3686 5.3686 5.3686 Å, 90.00 90.00 90.00°
With the nearest neighbours (Å) after each atom.
Positions (direct):
Rb 0.0000 0.0000 0.0000  12 Mn 3.80
Y 0.5000 0.5000 0.5000  6 Mn 2.68
Mn 0.0000 0.5000 0.5000  2 Y 2.68
Mn 0.5000 0.0000 0.5000  2 Y 2.68
Mn 0.5000 0.5000 0.0000  2 Y 2.68

ρ (g/cm3): 3.64
E_form (eV per atom): 1.60
Calculated total energy (eV/atom): -5.8263